[1]
Here is Tm6GaAs2Se3 after structural relaxation from the Alexandria database. Energies are from PBE-GGA.

Lattice parameters (Å, degrees): 9.1030 9.1030 8.2118 103.01 103.01 25.44
Last column: nearest neighbours and their distance in Å.
Element x y z (fractional)
Tm (0.0016, 0.0016, 0.2441)  2 Ga 2.83, 1 As 2.86, 3 Se 2.91-2.95
Tm (0.3300, 0.3300, 0.4233)  3 As 2.81-2.82, 3 Se 2.90-2.94
Tm (0.3378, 0.3378, 0.9121)  1 Ga 2.80, 2 As 2.84, 3 Se 2.91-2.93
Tm (0.6622, 0.6622, 0.0879)  1 Ga 2.80, 2 As 2.84, 3 Se 2.91-2.93
Tm (0.6700, 0.6700, 0.5767)  3 As 2.81-2.82, 3 Se 2.90-2.94
Tm (0.9984, 0.9984, 0.7559)  2 Ga 2.83, 1 As 2.86, 3 Se 2.91-2.95
Ga (0.5000, 0.5000, 0.0000)  6 Tm 2.80-2.83
As (0.1671, 0.1671, 0.3351)  6 Tm 2.81-2.86
As (0.8329, 0.8329, 0.6649)  6 Tm 2.81-2.86
Se (0.1693, 0.1693, 0.8320)  6 Tm 2.90-2.95
Se (0.5000, 0.5000, 0.5000)  6 Tm 2.91-2.94
Se (0.8307, 0.8307, 0.1680)  6 Tm 2.90-2.95

Computed properties:
Space-group type: No. 12
Size of the total moment, μB per formula unit: 0.00
Energy, eV/atom: -5.6140
ΔE_f (raw), eV/atom: -1.480


[2]
Here is VGaAs2Se after structural relaxation from the Alexandria database. Energies are from PBE-GGA.

Lattice parameters (Å, degrees): 4.7736 4.7736 4.9878 90.00 90.00 90.00
Last column: nearest neighbours and their distance in Å.
Element x y z (fractional)
V (0.0000, 0.0000, 0.0000)  4 Se 3.38, 8 As 3.45
Ga (0.5000, 0.5000, 0.5000)  4 As 2.39, 2 Se 2.49
As (0.0000, 0.5000, 0.5000)  2 Ga 2.39
As (0.5000, 0.0000, 0.5000)  2 Ga 2.39
Se (0.5000, 0.5000, 0.0000)  2 Ga 2.49

Computed properties:
Space-group type: No. 123
Size of the total moment, μB per formula unit: 0.13
Energy relative to the lowest polymorph listed for this composition, kJ per mole of atoms: 87.30
Energy, eV/atom: -3.9704
ΔE_f (raw), eV/atom: 1.015


[3]
Here is VGaAs2Se after structural relaxation from the Alexandria database. Energies are from PBE-GGA.

Lattice parameters (Å, degrees): 4.8173 4.8173 4.8034 90.00 90.00 90.00
Last column: nearest neighbours and their distance in Å.
Element x y z (fractional)
V (0.0000, 0.0000, 0.0000)  2 Se 2.40, 4 As 2.41
Ga (0.5000, 0.5000, 0.5000)  8 As 3.40, 4 Se 3.41
As (0.0000, 0.5000, 0.0000)  2 V 2.41
As (0.5000, 0.0000, 0.0000)  2 V 2.41
Se (0.0000, 0.0000, 0.5000)  2 V 2.40

Computed properties:
Space-group type: No. 123
Size of the total moment, μB per formula unit: 0.00
Energy relative to the lowest polymorph listed for this composition, kJ per mole of atoms: 0.00
Energy, eV/atom: -4.8752
ΔE_f (raw), eV/atom: 0.111


[4]
Here is GaAs2WSe after structural relaxation from the Alexandria database. Energies are from PBE-GGA.

Lattice parameters (Å, degrees): 4.9093 4.9093 5.0702 90.00 90.00 90.00
Last column: nearest neighbours and their distance in Å.
Element x y z (fractional)
Ga (0.0000, 0.0000, 0.0000)  4 Se 3.47, 8 As 3.53
As (0.0000, 0.5000, 0.5000)  2 W 2.45
As (0.5000, 0.0000, 0.5000)  2 W 2.45
W (0.5000, 0.5000, 0.5000)  4 As 2.45, 2 Se 2.54
Se (0.5000, 0.5000, 0.0000)  2 W 2.54

Computed properties:
Space-group type: No. 123
Size of the total moment, μB per formula unit: 0.00
Energy relative to the lowest polymorph listed for this composition, kJ per mole of atoms: 0.00
Energy, eV/atom: -5.3726
ΔE_f (raw), eV/atom: 0.380


[5]
Here is GaAs2WSe after structural relaxation from the Alexandria database. Energies are from PBE-GGA.

Lattice parameters (Å, degrees): 4.7064 4.7064 4.8490 90.00 90.00 90.00
Last column: nearest neighbours and their distance in Å.
Element x y z (fractional)
Ga (0.0000, 0.0000, 0.0000)  4 As 2.35, 2 Se 2.42
As (0.0000, 0.5000, 0.0000)  2 Ga 2.35
As (0.5000, 0.0000, 0.0000)  2 Ga 2.35
W (0.5000, 0.5000, 0.5000)  4 Se 3.33, 8 As 3.38
Se (0.0000, 0.0000, 0.5000)  2 Ga 2.42

Computed properties:
Space-group type: No. 123
Size of the total moment, μB per formula unit: 0.13
Energy relative to the lowest polymorph listed for this composition, kJ per mole of atoms: 104.52
Energy, eV/atom: -4.2894
ΔE_f (raw), eV/atom: 1.463


[6]
Here is Y4GaAsSe2 after structural relaxation from the Alexandria database. Energies are from PBE-GGA.

Lattice parameters (Å, degrees): 7.1935 4.0552 7.2176 90.00 108.78 90.00
Last column: nearest neighbours and their distance in Å.
Element x y z (fractional)
Y (0.2480, 0.0000, 0.2375)  1 Ga 2.87, 2 As 2.87, 3 Se 2.96-2.99
Y (0.2511, 0.5000, 0.7558)  2 Ga 2.90, 1 As 2.90, 3 Se 2.94-2.96
Y (0.7489, 0.5000, 0.2442)  2 Ga 2.90, 1 As 2.90, 3 Se 2.94-2.96
Y (0.7520, 0.0000, 0.7625)  1 Ga 2.87, 2 As 2.87, 3 Se 2.96-2.99
Ga (0.5000, 0.0000, 0.0000)  6 Y 2.87-2.90
As (0.0000, 0.5000, 0.0000)  6 Y 2.87-2.90
Se (0.0000, 0.0000, 0.5000)  6 Y 2.94-2.99
Se (0.5000, 0.5000, 0.5000)  6 Y 2.96

Computed properties:
Space-group type: No. 10
Size of the total moment, μB per formula unit: 0.00
Energy, eV/atom: -6.5196
ΔE_f (raw), eV/atom: -1.457


[7]
Here is YGaAs2Se after structural relaxation from the Alexandria database. Energies are from PBE-GGA.

Lattice parameters (Å, degrees): 4.8545 4.8545 5.0954 90.00 90.00 90.00
Last column: nearest neighbours and their distance in Å.
Element x y z (fractional)
Y (0.0000, 0.0000, 0.0000)  4 Se 3.43, 8 As 3.52
Ga (0.5000, 0.5000, 0.5000)  4 As 2.43, 2 Se 2.55
As (0.0000, 0.5000, 0.5000)  2 Ga 2.43
As (0.5000, 0.0000, 0.5000)  2 Ga 2.43
Se (0.5000, 0.5000, 0.0000)  2 Ga 2.55

Computed properties:
Space-group type: No. 123
Size of the total moment, μB per formula unit: 0.00
Energy relative to the lowest polymorph listed for this composition, kJ per mole of atoms: 0.00
Energy, eV/atom: -4.5660
ΔE_f (raw), eV/atom: -0.111


[8]
Here is Y8GaAs3Se4 after structural relaxation from the Alexandria database. Energies are from PBE-GGA.

Lattice parameters (Å, degrees): 8.2542 8.2542 8.2542 59.87 59.87 59.87
Last column: nearest neighbours and their distance in Å.
Element x y z (fractional)
Y (0.2457, 0.2457, 0.2457)  3 As 2.87, 3 Se 2.97
Y (0.2492, 0.7448, 0.7448)  1 Ga 2.86, 2 As 2.88, 3 Se 2.95-2.98
Y (0.2552, 0.2552, 0.7508)  1 Ga 2.86, 2 As 2.88, 3 Se 2.95-2.98
Y (0.2552, 0.7508, 0.2552)  1 Ga 2.86, 2 As 2.88, 3 Se 2.95-2.98
Y (0.7448, 0.2492, 0.7448)  1 Ga 2.86, 2 As 2.88, 3 Se 2.95-2.98
Y (0.7448, 0.7448, 0.2492)  1 Ga 2.86, 2 As 2.88, 3 Se 2.95-2.98
Y (0.7508, 0.2552, 0.2552)  1 Ga 2.86, 2 As 2.88, 3 Se 2.95-2.98
Y (0.7543, 0.7543, 0.7543)  3 As 2.87, 3 Se 2.97
Ga (0.5000, 0.5000, 0.5000)  6 Y 2.86
As (0.0000, 0.0000, 0.5000)  6 Y 2.87-2.88
As (0.0000, 0.5000, 0.0000)  6 Y 2.87-2.88
As (0.5000, 0.0000, 0.0000)  6 Y 2.87-2.88
Se (0.0000, 0.0000, 0.0000)  6 Y 2.98
Se (0.0000, 0.5000, 0.5000)  6 Y 2.95-2.97
Se (0.5000, 0.0000, 0.5000)  6 Y 2.95-2.97
Se (0.5000, 0.5000, 0.0000)  6 Y 2.95-2.97

Computed properties:
Space-group type: No. 166
Size of the total moment, μB per formula unit: 0.00
Energy, eV/atom: -6.7648
ΔE_f (raw), eV/atom: -1.601


> Which of these has the highest ΔE_f (raw)?

number 5


> size of the total moment of number 4 (GaAs2WSe)?

0.00 μB per formula unit